No. 1
VASP calculation (PBE-GGA) on a relaxed Mo2RuSe crystal.

Values from the calculation:
Its crystal system is trigonal. The total energy comes out at -8.382 eV/atom. The calculation puts the magnetic moment at 0.0 μB per cell. The formation energy without anion corrections comes out at 0.90 eV/f.u. As for the density of states at the Fermi level: 5.0 states/eV per cell.

```
4
Lattice="-5.1426 -6.1382 -3.2538 -3.4295 -7.7766 -1.5728 -5.7443 -6.4445 -0.4274" Properties=species:S:1:pos:R:3 pbc="T T T"
Ru -3.5791 -5.0898 -1.3135
Mo -7.1414 -10.1556 -2.6208
Mo -0.0169 -0.0240 -0.0062
Se -10.7374 -15.2694 -3.9405
```

No. 2
VASP calculation (PBE-GGA) on a relaxed MoRu4Se crystal.

Values from the calculation:
Its crystal system is cubic. The total energy comes out at -7.851 eV/atom. The calculation puts the magnetic moment at 0.0 μB per cell. The formation energy without anion corrections comes out at 4.31 eV/f.u. As for the density of states at the Fermi level: 8.8 states/eV per cell.

```
6
Lattice="0.1542 -1.1603 4.9760 -3.2868 2.1978 3.2401 -3.7546 -2.7628 2.0978" Properties=species:S:1:pos:R:3 pbc="T T T"
Ru -4.2283 0.4555 5.4887
Ru -2.5030 -1.2282 6.3590
Ru -2.5803 -0.6464 3.8641
Ru -4.4628 -2.0317 4.9159
Se -5.1654 -1.2941 7.7354
Mo 0.0000 0.0000 0.0000
```

No. 3
VASP calculation (PBE-GGA) on a relaxed Mo2RuSe crystal.

Values from the calculation:
Its crystal system is monoclinic. The total energy comes out at -8.371 eV/atom. The calculation puts the magnetic moment at 0.0 μB per cell. The formation energy without anion corrections comes out at 0.94 eV/f.u. As for the density of states at the Fermi level: 2.4 states/eV per cell.

```
4
Lattice="-2.7445 4.0719 -0.6314 -2.7400 2.5468 -3.2431 -3.8782 -1.8413 1.0685" Properties=species:S:1:pos:R:3 pbc="T T T"
Mo -5.4897 6.5034 -3.8071
Mo -4.6762 2.5041 -1.4703
Ru -2.3407 1.1944 -0.7015
Se -7.0220 3.5831 -2.1044
```

No. 4
VASP calculation (PBE-GGA) on a relaxed Mo2RuSe4 crystal.

Values from the calculation:
Its crystal system is triclinic. The total energy comes out at -6.994 eV/atom. The calculation puts the magnetic moment at 0.0 μB per cell. Its energy above the most stable polymorph in this dataset is 2 meV per atom. The formation energy without anion corrections comes out at -4.08 eV/f.u.

```
28
Lattice="-2.0137 5.4732 3.3490 -7.9175 -4.7370 1.3841 3.7352 -3.8240 8.2189" Properties=species:S:1:pos:R:3 pbc="T T T"
Ru -2.8722 -2.8572 9.6897
Ru -6.0709 -2.4308 6.3349
Ru -3.3238 -0.2307 3.2623
Ru -0.1251 -0.6571 6.6171
Se -8.0471 -0.9582 6.8479
Se -3.9667 -2.5851 2.6844
Se -5.1015 -1.8804 8.5907
Se -1.5569 -2.6878 7.5534
Se -1.0945 -1.2075 4.3613
Se -4.6390 -0.4001 5.3986
Se 1.8511 -2.1297 6.1041
Se -2.9561 2.2345 3.8257
Se -2.1359 0.0909 1.0903
Se -2.2293 -0.5028 10.2676
Se -1.9309 0.9722 7.1469
Se 1.1003 -0.0156 8.7695
Se -7.2963 -3.0723 4.1825
Se -4.2651 -4.0600 5.8051
Se -3.2398 -5.3224 9.1263
Se -4.0600 -3.1788 11.8617
Mo -5.9338 -1.0201 3.1867
Mo -6.6057 -5.0172 5.6984
Mo -0.7995 -4.5717 9.1137
Mo -0.7313 1.3555 4.9412
Mo -5.4647 -4.4433 8.0108
Mo -0.2622 -2.0677 9.7653
Mo 0.4098 1.9293 7.2536
Mo -5.3965 1.4838 3.8383
```

No. 5
VASP calculation (PBE-GGA) on a relaxed MoRuSe2 crystal.

Values from the calculation:
Its crystal system is orthorhombic. The total energy comes out at -6.528 eV/atom. The calculation puts the magnetic moment at 0.0 μB per cell. Its energy above the most stable polymorph in this dataset is 410 meV per atom. The formation energy without anion corrections comes out at 0.96 eV/f.u. As for the density of states at the Fermi level: 4.7 states/eV per cell.

```
4
Lattice="5.5307 0.0041 0.0000 2.9567 4.6741 0.0000 -3.8241 -3.1003 2.5206" Properties=species:S:1:pos:R:3 pbc="T T T"
Mo 4.3597 2.4030 0.0000
Se 0.1366 0.0753 0.0000
Se 2.8625 -0.4406 1.2603
Ru 1.5482 1.8793 1.2603
```

No. 6
VASP calculation (PBE-GGA) on a relaxed Mo2RuSe crystal.

Values from the calculation:
Its crystal system is orthorhombic. The total energy comes out at -8.429 eV/atom. The calculation puts the magnetic moment at 0.0 μB per cell. The formation energy without anion corrections comes out at 0.71 eV/f.u. As for the density of states at the Fermi level: 2.7 states/eV per cell.

```
4
Lattice="-3.5450 -0.7982 3.7640 0.6009 -4.1948 3.0683 2.1064 4.4796 -1.6936" Properties=species:S:1:pos:R:3 pbc="T T T"
Se 0.6177 -1.1059 2.3955
Mo -1.4104 -2.3920 3.2731
Mo -0.0616 -0.1045 0.1430
Ru -1.4553 0.5924 2.7433
```

No. 7
VASP calculation (PBE-GGA) on a relaxed MoRuSe2 crystal.

Values from the calculation:
Its crystal system is orthorhombic. The total energy comes out at -6.173 eV/atom. The calculation puts the magnetic moment at 0.0 μB per cell. Its energy above the most stable polymorph in this dataset is 765 meV per atom. The formation energy without anion corrections comes out at 2.38 eV/f.u. As for the density of states at the Fermi level: 5.6 states/eV per cell.

```
4
Lattice="3.1846 -0.0027 0.0000 -1.6603 2.7175 0.0000 0.0000 0.0000 7.9753" Properties=species:S:1:pos:R:3 pbc="T T T"
Ru 0.7621 1.3574 5.9815
Se 0.0000 0.0000 7.9490
Se 0.0000 0.0000 4.0139
Mo 0.7621 1.3574 1.9938
```

No. 8
VASP calculation (PBE-GGA) on a relaxed MoRu2Se crystal.

Values from the calculation:
Its crystal system is orthorhombic. The total energy comes out at -7.913 eV/atom. The calculation puts the magnetic moment at 0.0 μB per cell. The formation energy without anion corrections comes out at 1.22 eV/f.u. As for the density of states at the Fermi level: 3.0 states/eV per cell.

```
4
Lattice="2.9228 0.0000 0.0000 0.0000 4.0355 0.0000 0.0000 0.0000 5.2093" Properties=species:S:1:pos:R:3 pbc="T T T"
Ru 0.0000 0.0000 5.0273
Ru 1.4614 2.0178 1.5363
Se 0.0000 0.0000 2.4001
Mo 1.4614 2.0178 4.0595
```

No. 9
VASP calculation (PBE-GGA) on a relaxed Mo2RuSe crystal.

Values from the calculation:
Its crystal system is tetragonal. The total energy comes out at -8.592 eV/atom. The calculation puts the magnetic moment at 0.0 μB per cell. The formation energy without anion corrections comes out at 0.05 eV/f.u. As for the density of states at the Fermi level: 1.7 states/eV per cell.

```
4
Lattice="2.9711 0.0000 0.0000 0.0000 2.9711 0.0000 0.0000 0.0000 6.8536" Properties=species:S:1:pos:R:3 pbc="T T T"
Ru 1.4856 1.4856 1.7134
Se 1.4856 1.4856 5.1402
Mo 0.0000 0.0000 3.4707
Mo 0.0000 0.0000 6.8098
```

No. 10
VASP calculation (PBE-GGA) on a relaxed MoRuSe2 crystal.

Values from the calculation:
Its crystal system is monoclinic. The total energy comes out at -6.608 eV/atom. The calculation puts the magnetic moment at 0.0 μB per cell. Its energy above the most stable polymorph in this dataset is 330 meV per atom. The formation energy without anion corrections comes out at 0.65 eV/f.u. As for the density of states at the Fermi level: 3.8 states/eV per cell.

```
4
Lattice="4.2774 -0.0003 -0.0012 3.1710 2.8707 -0.0012 1.0254 0.3952 5.2251" Properties=species:S:1:pos:R:3 pbc="T T T"
Mo 6.3553 2.4492 3.9171
Se 1.0868 0.4188 5.2015
Se 4.1755 1.6091 2.6350
Ru 2.1184 0.8164 1.3057
```

No. 11
VASP calculation (PBE-GGA) on a relaxed Mo2RuSe crystal.

Values from the calculation:
Its crystal system is orthorhombic. The total energy comes out at -8.258 eV/atom. The calculation puts the magnetic moment at 0.0 μB per cell. The formation energy without anion corrections comes out at 1.39 eV/f.u. As for the density of states at the Fermi level: 4.8 states/eV per cell.

```
4
Lattice="4.8809 0.0092 0.0000 -2.2397 4.3367 0.0000 0.0000 0.0000 2.9347" Properties=species:S:1:pos:R:3 pbc="T T T"
Ru 2.4404 0.0046 1.4673
Se -1.1198 2.1683 1.4673
Mo 1.3206 2.1729 0.0000
Mo 0.0000 0.0000 0.0000
```

No. 12
VASP calculation (PBE-GGA) on a relaxed MoRu2Se crystal.

Values from the calculation:
Its crystal system is tetragonal. The total energy comes out at -7.791 eV/atom. The calculation puts the magnetic moment at 0.9 μB per cell. The formation energy without anion corrections comes out at 1.70 eV/f.u. As for the density of states at the Fermi level: 5.9 states/eV per cell.

```
4
Lattice="-0.8941 0.7060 2.7158 -4.3369 -0.2985 -1.3503 -0.0484 -4.4093 1.1302" Properties=species:S:1:pos:R:3 pbc="T T T"
Ru -2.1927 -2.3539 -0.1100
Ru 0.0000 0.0000 0.0000
Se -2.6155 0.2037 0.6828
Mo -0.4713 -1.8517 1.9230
```